1.
Computed, not measured: a crystal of BaCrHg2 relaxed with PBEsol at the SCAN level of DFT.

```
BaCrHg2
1.0
3.594 0.000 0.000
0.000 3.594 0.000
0.000 0.000 7.689
Hg Ba Cr
2 1 1
Direct
0.000 0.000 0.808
0.000 0.000 0.192
0.500 0.500 0.500
0.500 0.500 0.000
```

ρ in Mg/m³: 9.87
V in Å³/atom: 24.825
Formation energy from the elements in meV per atom: -182


2.
Computed, not measured: a crystal of TcRh2 relaxed with PBEsol at the SCAN level of DFT.

```
TcRh2
1.0
2.695 0.000 0.000
-1.348 4.886 0.000
0.000 -1.547 6.169
Rh Tc
4 2
Direct
0.028 0.056 0.310
0.358 0.717 0.967
0.972 0.944 0.690
0.642 0.283 0.033
0.305 0.610 0.362
0.695 0.390 0.638
```

ρ in Mg/m³: 12.42
V in Å³/atom: 13.538
Formation energy from the elements in meV per atom: -127
Energy relative to the lowest polymorph listed for this composition in meV per atom: 56


3.
Computed, not measured: a crystal of FeAsPBr2 relaxed with PBEsol at the SCAN level of DFT.

```
FeAsPBr2
1.0
4.894 0.000 0.000
0.000 4.588 0.000
0.000 0.000 4.588
As Br Fe P
1 2 1 1
Direct
0.500 0.000 0.000
0.000 0.500 0.000
0.000 0.000 0.500
0.000 0.000 0.000
0.500 0.500 0.500
```

ρ in Mg/m³: 5.18
V in Å³/atom: 20.602
Uncorrected formation energy in eV per atom: 0.699


4.
Computed, not measured: a crystal of BeHgS2 relaxed with PBEsol at the SCAN level of DFT.

```
BeHgS2
1.0
3.502 0.000 0.000
1.751 3.033 0.000
1.751 1.011 6.924
S Hg Be
2 1 1
Direct
0.113 0.113 0.661
0.887 0.887 0.339
0.000 0.000 0.000
0.500 0.500 0.500
```

ρ in Mg/m³: 6.18
V in Å³/atom: 18.386
Uncorrected formation energy in eV per atom: -0.356
Energy relative to the lowest polymorph listed for this composition in meV per atom: 309